CaTa2Pb | PBE-GGA | optimized geometry

E_form = 0.7077 eV/atom
Total magnetic moment = 0.0 μB/f.u.

Cell lengths 3.770, 3.770, 6.787 Å; angles 90.00, 90.00, 90.00 degrees
Atoms (fractional coordinates):
Ca1 0.000 0.000 0.000
Ta1 0.500 0.500 0.312
Ta2 0.500 0.500 0.688
Pb1 0.000 0.000 0.500